A relaxed TbZrCdGa crystal. Source: Alexandria via LeMat-Bulk, functional PBE.

Cell: 5.0164 5.0164 5.0164 Å, 60.00 60.00 60.00°
Fractional positions:
Tb (0.2500, 0.2500, 0.2500)
Zr (0.7500, 0.7500, 0.7500)
Cd (0.0000, 0.0000, 0.0000)
Ga (0.5000, 0.5000, 0.5000)

Properties
SG: F-43m, No. 216
ΔH_f (0 K): -0.310 eV per atom
Size of the total moment: 0.0 μB/f.u.



A relaxed Ce5Tl2Co2 crystal. Source: Alexandria via LeMat-Bulk, functional PBE.

Cell: 6.9129 6.7226 11.9070 Å, 106.40 106.88 90.00°
Fractional positions:
Co (0.5000, 0.4816, 0.0000)
Co (0.0000, 0.9816, 0.0000)
Co (0.1939, 0.2319, 0.5000)
Co (0.8061, 0.7319, 0.5000)
Tl (0.6063, 0.0884, 0.2133)
Tl (0.3937, 0.8751, 0.7867)
Tl (0.8930, 0.3751, 0.7867)
Tl (0.1070, 0.5884, 0.2133)
Ce (0.8158, 0.2319, 0.5000)
Ce (0.2499, 0.7316, 0.9996)
Ce (0.1445, 0.1229, 0.2821)
Ce (0.3624, 0.3407, 0.7179)
Ce (0.7501, 0.7319, 0.0004)
Ce (0.2498, 0.2316, 0.9996)
Ce (0.7502, 0.2319, 0.0004)
Ce (0.1842, 0.7319, 0.5000)
Ce (0.6376, 0.6229, 0.2821)
Ce (0.8555, 0.8407, 0.7179)

Properties
SG: Imma, No. 74
ΔH_f (0 K): -0.053 eV per atom
Size of the total moment: 1.8 μB/f.u.



A relaxed Zn2RuSe crystal. Source: Alexandria via LeMat-Bulk, functional PBE.

Cell: 4.8504 4.8504 4.3730 Å, 73.61 73.61 39.08°
Fractional positions:
Zn (0.0045, 0.0045, 0.9834)
Zn (0.4955, 0.4955, 0.5166)
Ru (0.7500, 0.7500, 0.7500)
Se (0.2500, 0.2500, 0.2500)

Properties
Formation energy (no corrections): 15.33 kJ/mol of atoms
SG: C2/m, No. 12
Size of the total moment: 0.0 μB/f.u.



A relaxed Sr13Ca3 crystal. Source: Alexandria via LeMat-Bulk, functional PBE.

Cell: 9.3245 9.3245 9.4602 Å, 90.00 90.00 90.03°
Fractional positions:
Sr (0.9962, 0.4959, 0.2463)
Sr (0.2426, 0.7574, 0.5000)
Sr (0.5038, 0.4962, 0.2459)
Sr (0.2429, 0.2427, 0.5000)
Sr (0.5041, 0.0038, 0.7537)
Sr (0.7573, 0.7571, 0.5000)
Sr (0.7570, 0.2430, 0.5000)
Sr (0.7571, 0.7580, 0.0000)
Sr (0.9962, 0.4959, 0.7537)
Sr (0.5038, 0.4962, 0.7541)
Sr (0.5041, 0.0038, 0.2463)
Sr (0.2428, 0.7572, 0.0000)
Sr (0.2420, 0.2429, 0.0000)
Ca (0.9958, 0.0042, 0.7547)
Ca (0.9958, 0.0042, 0.2453)
Ca (0.7585, 0.2415, 0.0000)

Properties
SG: Amm2, No. 38
ΔH_f (0 K): 0.014 eV per atom
Size of the total moment: 0.0 μB/f.u.



A relaxed BaBe2P crystal. Source: Alexandria via LeMat-Bulk, functional PBE.

Cell: 3.6556 4.1421 5.4751 Å, 76.33 90.00 90.00°
Fractional positions:
Be (0.5000, 0.2616, 0.2478)
Be (0.0000, 0.0255, 0.1718)
Ba (0.5000, 0.7354, 0.7534)
P (0.0000, 0.4775, 0.3271)

Properties
SG: Pm, No. 6
ΔH_f (0 K): -0.103 eV per atom
Size of the total moment: 0.0 μB/f.u.



A relaxed KNa2Pb crystal. Source: Alexandria via LeMat-Bulk, functional PBE.

Cell: 7.9468 7.9468 7.9468 Å, 154.16 55.18 132.14°
Fractional positions:
Na (0.7219, 0.0000, 0.7219)
Na (0.2781, 0.0000, 0.2781)
K (0.0000, 0.0000, 0.0000)
Pb (0.5000, 0.0000, 0.5000)

Properties
SG: Immm, No. 71
ΔH_f (0 K): 0.057 eV per atom
Size of the total moment: 0.0 μB/f.u.



A relaxed NdY2ErS6 crystal. Source: Alexandria via LeMat-Bulk, functional PBE.

Cell: 6.9728 6.9728 7.3889 Å, 61.84 61.84 60.00°
Fractional positions:
Y (0.0146, 0.0146, 0.9563)
Y (0.5183, 0.5182, 0.4453)
S (0.6115, 0.2218, 0.2476)
S (0.9192, 0.6115, 0.2476)
S (0.2217, 0.9191, 0.2476)
S (0.1307, 0.4004, 0.7510)
S (0.4003, 0.7180, 0.7510)
S (0.7180, 0.1306, 0.7510)
Nd (0.8107, 0.8107, 0.5678)
Er (0.3167, 0.3166, 0.0500)

Properties
Formation energy (no corrections): -197.62 kJ/mol of atoms
SG: R3, No. 146
Size of the total moment: 0.0 μB/f.u.



A relaxed Tb2HoEr5Zr crystal. Source: Alexandria via LeMat-Bulk, functional PBE.

Cell: 5.4705 10.4864 9.9400 Å, 90.00 90.00 105.12°
Fractional positions:
Er (0.7341, 0.4682, 0.8356)
Er (0.6355, 0.2710, 0.5229)
Er (0.4824, 0.9648, 0.7389)
Er (0.3645, 0.7290, 0.0229)
Er (0.5176, 0.0352, 0.2389)
Er (0.6998, 0.3996, 0.2005)
Er (0.2659, 0.5318, 0.3356)
Er (0.0160, 0.0319, 0.0135)
Er (0.3002, 0.6004, 0.7005)
Er (0.9840, 0.9681, 0.5135)
Tb (0.8898, 0.7797, 0.8117)
Tb (0.8791, 0.7583, 0.2331)
Tb (0.1102, 0.2203, 0.3117)
Tb (0.1209, 0.2417, 0.7331)
Ho (0.5967, 0.1934, 0.9472)
Ho (0.4033, 0.8066, 0.4472)
Zr (0.8112, 0.6223, 0.5205)
Zr (0.1888, 0.3777, 0.0205)

Properties
SG: Cmc2_1, No. 36
ΔH_f (0 K): 0.176 eV per atom
Size of the total moment: 0.0 μB/f.u.



A relaxed ErPa2TcC4 crystal. Source: Alexandria via LeMat-Bulk, functional PBE.

Cell: 3.5757 6.1567 11.8355 Å, 90.00 90.00 106.88°
Fractional positions:
Pa (0.3677, 0.7354, 0.9570)
Pa (0.3677, 0.7354, 0.5430)
Pa (0.6323, 0.2646, 0.0430)
Pa (0.6323, 0.2646, 0.4570)
C (0.7367, 0.4735, 0.8708)
C (0.2633, 0.5265, 0.3708)
C (0.0000, 0.0000, 0.0000)
C (0.7367, 0.4735, 0.6292)
C (0.2633, 0.5265, 0.1292)
C (0.5599, 0.1198, 0.2500)
C (0.4401, 0.8802, 0.7500)
C (0.0000, 0.0000, 0.5000)
Er (0.8750, 0.7499, 0.2500)
Er (0.1250, 0.2501, 0.7500)
Tc (0.8604, 0.7209, 0.7500)
Tc (0.1396, 0.2791, 0.2500)

Properties
SG: Cmcm, No. 63
ΔH_f (0 K): -0.140 eV per atom
Size of the total moment: 0.0 μB/f.u.



A relaxed ZnSbAu2 crystal. Source: Alexandria via LeMat-Bulk, functional PBE.

Cell: 3.6664 6.9538 5.5978 Å, 37.35 90.00 90.00°
Fractional positions:
Au (0.0000, 0.0000, 0.0000)
Au (0.5000, 0.5000, 0.0000)
Zn (0.0000, 0.0000, 0.5000)
Sb (0.5000, 0.5000, 0.5000)

Properties
Formation energy (no corrections): -1.87 kJ/mol of atoms
SG: P2/m, No. 10
Energy above the most stable polymorph in this dataset: 0.046 eV per atom
Size of the total moment: 0.0 μB/f.u.



Q: What is the formula in the fifth record?
A: BaBe2P